1.
# OsPbW2

A relaxed OsPbW2 crystal (PBE, Alexandria via LeMat-Bulk).

Calculated values
- E_form (eV per atom) = 0.732
- total moment (μB per formula unit) = 0.00

Geometry as CIF:
```
data_OsPbW2
_cell_length_a 2.892
_cell_length_b 3.990
_cell_length_c 6.446
_cell_angle_alpha 90.00
_cell_angle_beta 90.00
_cell_angle_gamma 90.00
_symmetry_space_group_name_H-M 'P m m 2'
_symmetry_Int_Tables_number 25
_symmetry_space_group_name_Hall 'P 2 -2'
loop_
_atom_site_label
_atom_site_type_symbol
_atom_site_fract_x
_atom_site_fract_y
_atom_site_fract_z
_atom_site_occupancy
Os1 Os 0.000 0.000 0.000 1
Pb1 Pb 0.500 0.500 0.319 1
W1 W 0.000 0.000 0.607 1
W2 W 0.500 0.500 0.839 1
```

2.
# Os2PbW

A relaxed Os2PbW crystal (PBE, Alexandria via LeMat-Bulk).

Calculated values
- E_form (eV per atom) = 0.978
- total moment (μB per formula unit) = 0.00

Geometry as CIF:
```
data_Os2PbW
_cell_length_a 2.963
_cell_length_b 4.902
_cell_length_c 9.625
_cell_angle_alpha 90.00
_cell_angle_beta 90.00
_cell_angle_gamma 90.00
_symmetry_space_group_name_H-M 'I m m m'
_symmetry_Int_Tables_number 71
_symmetry_space_group_name_Hall '-I 2 2'
loop_
_atom_site_label
_atom_site_type_symbol
_atom_site_fract_x
_atom_site_fract_y
_atom_site_fract_z
_atom_site_occupancy
Os1 Os 0.000 0.000 0.227 1
Pb1 Pb 0.000 0.500 0.000 1
W1 W 0.000 0.500 0.500 1
```

3.
# OsPbW2

A relaxed OsPbW2 crystal (PBE, Alexandria via LeMat-Bulk).

Calculated values
- E_form (eV per atom) = 0.967
- total moment (μB per formula unit) = 0.00

Geometry as CIF:
```
data_OsPbW2
_cell_length_a 3.929
_cell_length_b 3.929
_cell_length_c 4.490
_cell_angle_alpha 90.00
_cell_angle_beta 90.00
_cell_angle_gamma 90.00
_symmetry_space_group_name_H-M 'P 4/m m m'
_symmetry_Int_Tables_number 123
_symmetry_space_group_name_Hall '-P 4 2'
loop_
_atom_site_label
_atom_site_type_symbol
_atom_site_fract_x
_atom_site_fract_y
_atom_site_fract_z
_atom_site_occupancy
Os1 Os 0.000 0.000 0.000 1
Pb1 Pb 0.500 0.500 0.000 1
W1 W 0.000 0.500 0.500 1
```

4.
# OsPbW2

A relaxed OsPbW2 crystal (PBE, Alexandria via LeMat-Bulk).

Calculated values
- E_form (eV per atom) = 0.789
- total moment (μB per formula unit) = 0.00

Geometry as CIF:
```
data_OsPbW2
_cell_length_a 9.411
_cell_length_b 3.084
_cell_length_c 5.062
_cell_angle_alpha 90.00
_cell_angle_beta 102.52
_cell_angle_gamma 90.00
_symmetry_space_group_name_H-M 'C 1 m 1'
_symmetry_Int_Tables_number 8
_symmetry_space_group_name_Hall 'C -2y'
loop_
_atom_site_label
_atom_site_type_symbol
_atom_site_fract_x
_atom_site_fract_y
_atom_site_fract_z
_atom_site_occupancy
Os1 Os 0.000 0.000 0.000 1
Pb1 Pb 0.232 0.000 0.693 1
W1 W 0.233 0.500 0.187 1
W2 W 0.463 0.000 0.409 1
```

5.
# OsPbW2

A relaxed OsPbW2 crystal (PBE, Alexandria via LeMat-Bulk).

Calculated values
- E_form (eV per atom) = 0.665
- total moment (μB per formula unit) = 0.00

Geometry as CIF:
```
data_OsPbW2
_cell_length_a 2.955
_cell_length_b 2.955
_cell_length_c 8.061
_cell_angle_alpha 90.00
_cell_angle_beta 90.00
_cell_angle_gamma 90.00
_symmetry_space_group_name_H-M 'P 4/m m m'
_symmetry_Int_Tables_number 123
_symmetry_space_group_name_Hall '-P 4 2'
loop_
_atom_site_label
_atom_site_type_symbol
_atom_site_fract_x
_atom_site_fract_y
_atom_site_fract_z
_atom_site_occupancy
Os1 Os 0.000 0.000 0.000 1
Pb1 Pb 0.000 0.000 0.500 1
W1 W 0.500 0.500 0.220 1
```

6.
# Os2PbW

A relaxed Os2PbW crystal (PBE, Alexandria via LeMat-Bulk).

Calculated values
- E_form (eV per atom) = 0.933
- total moment (μB per formula unit) = 0.00

Geometry as CIF:
```
data_Os2PbW
_cell_length_a 2.881
_cell_length_b 4.475
_cell_length_c 5.674
_cell_angle_alpha 90.00
_cell_angle_beta 97.08
_cell_angle_gamma 90.00
_symmetry_space_group_name_H-M 'P 1 2/m 1'
_symmetry_Int_Tables_number 10
_symmetry_space_group_name_Hall '-P 2y'
loop_
_atom_site_label
_atom_site_type_symbol
_atom_site_fract_x
_atom_site_fract_y
_atom_site_fract_z
_atom_site_occupancy
Os1 Os 0.156 0.000 0.299 1
Pb1 Pb 0.000 0.500 0.000 1
W1 W 0.500 0.500 0.500 1
```

7.
# OsPbW2

A relaxed OsPbW2 crystal (PBE, Alexandria via LeMat-Bulk).

Calculated values
- E_form (eV per atom) = 0.821
- total moment (μB per formula unit) = 0.00

Geometry as CIF:
```
data_OsPbW2
_cell_length_a 3.282
_cell_length_b 4.513
_cell_length_c 9.298
_cell_angle_alpha 90.00
_cell_angle_beta 90.00
_cell_angle_gamma 90.00
_symmetry_space_group_name_H-M 'I m m m'
_symmetry_Int_Tables_number 71
_symmetry_space_group_name_Hall '-I 2 2'
loop_
_atom_site_label
_atom_site_type_symbol
_atom_site_fract_x
_atom_site_fract_y
_atom_site_fract_z
_atom_site_occupancy
Os1 Os 0.000 0.000 0.000 1
Pb1 Pb 0.000 0.000 0.500 1
W1 W 0.000 0.500 0.253 1
```

8.
# Os2PbW

A relaxed Os2PbW crystal (PBE, Alexandria via LeMat-Bulk).

Calculated values
- E_form (eV per atom) = 1.057
- total moment (μB per formula unit) = 0.00

Geometry as CIF:
```
data_Os2PbW
_cell_length_a 2.983
_cell_length_b 4.747
_cell_length_c 4.796
_cell_angle_alpha 90.00
_cell_angle_beta 90.00
_cell_angle_gamma 90.00
_symmetry_space_group_name_H-M 'P m m m'
_symmetry_Int_Tables_number 47
_symmetry_space_group_name_Hall '-P 2 2'
loop_
_atom_site_label
_atom_site_type_symbol
_atom_site_fract_x
_atom_site_fract_y
_atom_site_fract_z
_atom_site_occupancy
Os1 Os 0.000 0.000 0.000 1
Os2 Os 0.500 0.000 0.500 1
Pb1 Pb 0.000 0.500 0.500 1
W1 W 0.500 0.500 0.000 1
```

9.
# Os2PbW

A relaxed Os2PbW crystal (PBE, Alexandria via LeMat-Bulk).

Calculated values
- E_form (eV per atom) = 0.628
- total moment (μB per formula unit) = 0.00

Geometry as CIF:
```
data_Os2PbW
_cell_length_a 2.9408
_cell_length_b 2.9408
_cell_length_c 28.1082
_cell_angle_alpha 90.00
_cell_angle_beta 90.00
_cell_angle_gamma 120.00
_symmetry_space_group_name_H-M 'R -3 m'
_symmetry_Int_Tables_number 166
_symmetry_space_group_name_Hall '-R 3 2"'
loop_
_atom_site_label
_atom_site_type_symbol
_atom_site_fract_x
_atom_site_fract_y
_atom_site_fract_z
_atom_site_occupancy
Os1 Os 0.0000 0.0000 0.2406 1
Pb1 Pb 0.0000 0.0000 0.0000 1
W1 W 0.0000 0.0000 0.5000 1
```

10.
# Os2PbW

A relaxed Os2PbW crystal (PBE, Alexandria via LeMat-Bulk).

Calculated values
- E_form (eV per atom) = 0.999
- total moment (μB per formula unit) = 0.00

Geometry as CIF:
```
data_Os2PbW
_cell_length_a 4.367
_cell_length_b 4.367
_cell_length_c 3.555
_cell_angle_alpha 90.00
_cell_angle_beta 90.00
_cell_angle_gamma 90.00
_symmetry_space_group_name_H-M 'P 4/m m m'
_symmetry_Int_Tables_number 123
_symmetry_space_group_name_Hall '-P 4 2'
loop_
_atom_site_label
_atom_site_type_symbol
_atom_site_fract_x
_atom_site_fract_y
_atom_site_fract_z
_atom_site_occupancy
Os1 Os 0.000 0.500 0.000 1
Pb1 Pb 0.000 0.000 0.500 1
W1 W 0.500 0.500 0.500 1
```

11.
# Os2PbW

A relaxed Os2PbW crystal (PBE, Alexandria via LeMat-Bulk).

Calculated values
- E_form (eV per atom) = 0.905
- total moment (μB per formula unit) = 0.00

Geometry as CIF:
```
data_Os2PbW
_cell_length_a 3.961
_cell_length_b 3.961
_cell_length_c 8.538
_cell_angle_alpha 90.00
_cell_angle_beta 90.00
_cell_angle_gamma 90.00
_symmetry_space_group_name_H-M 'I -4 m 2'
_symmetry_Int_Tables_number 119
_symmetry_space_group_name_Hall 'I -4 -2'
loop_
_atom_site_label
_atom_site_type_symbol
_atom_site_fract_x
_atom_site_fract_y
_atom_site_fract_z
_atom_site_occupancy
Os1 Os 0.000 0.000 0.000 1
Os2 Os 0.000 0.500 0.250 1
Pb1 Pb 0.000 0.500 0.750 1
W1 W 0.000 0.000 0.500 1
```

12.
# OsPbW2

A relaxed OsPbW2 crystal (PBE, Alexandria via LeMat-Bulk).

Calculated values
- E_form (eV per atom) = 1.283
- total moment (μB per formula unit) = 0.00

Geometry as CIF:
```
data_OsPbW2
_cell_length_a 3.902
_cell_length_b 3.902
_cell_length_c 19.655
_cell_angle_alpha 90.00
_cell_angle_beta 90.00
_cell_angle_gamma 90.00
_symmetry_space_group_name_H-M 'I -4 2 d'
_symmetry_Int_Tables_number 122
_symmetry_space_group_name_Hall 'I -4 2bw'
loop_
_atom_site_label
_atom_site_type_symbol
_atom_site_fract_x
_atom_site_fract_y
_atom_site_fract_z
_atom_site_occupancy
Os1 Os 0.000 0.000 0.000 1
Pb1 Pb 0.000 0.000 0.500 1
W1 W 0.242 0.250 0.125 1
```